First-principles (PBE) data for an optimized crystal structure of HfVBi3, as listed in Alexandria.

Calculated values
Excess energy over the best structure of this formula in the dataset   0.00 kcal/mol of atoms
Formation enthalpy at 0 K   0.820 eV per atom
ρ   9.73 g cm⁻³
Electronic total energy   -5.323 eV per atom

abc: 5.268 5.268 5.268
angles: 90.00 90.00 90.00
Site moments in Bohr magnetons follow the coordinates.
Atoms (fractional coordinates):
Hf: 0.500 0.500 0.500  0.44
Bi: 0.000 0.500 0.000  -0.06
Bi: 0.000 0.000 0.500  -0.06
Bi: 0.500 0.000 0.000  -0.06
V: 0.000 0.000 0.000  1.15